# CePu4Pt3 | Alexandria | PBE | relaxed
# Size of the total moment (μB per formula unit): 22.4
# VASP energy (eV per formula unit): -86.24
# Fermi-level density of states (states/eV per cell): 129.87
# Formation energy from the elements (kcal/mol of atoms): -14.0
data_CePu4Pt3
_chemical_formula_sum 'Ce4 Pu16 Pt12'
_cell_length_a 11.389
_cell_length_b 11.389
_cell_length_c 5.782
_cell_angle_alpha 90.00
_cell_angle_beta 90.00
_cell_angle_gamma 90.00
_space_group_name_H-M_alt 'I 4/m c m'
_space_group_IT_number 140
_space_group_name_Hall '-I 4 2c'
loop_
_atom_site_label
_atom_site_fract_x
_atom_site_fract_y
_atom_site_fract_z
Ce1 0.000 0.500 0.250
Pu1 0.086 0.219 0.000
Pt1 0.000 0.000 0.250
Pt2 0.160 0.340 0.500

***

# CeEu2Dy | Alexandria | PBE | relaxed
# Size of the total moment (μB per formula unit): 16.1
# VASP energy (eV per formula unit): -30.15
# Fermi-level density of states (states/eV per cell): 9.34
# Formation energy from the elements (kcal/mol of atoms): 5.4
data_CeEu2Dy
_chemical_formula_sum 'Ce1 Eu2 Dy1'
_cell_length_a 5.974
_cell_length_b 5.974
_cell_length_c 3.992
_cell_angle_alpha 90.00
_cell_angle_beta 90.00
_cell_angle_gamma 90.00
_space_group_name_H-M_alt 'P 4/m m m'
_space_group_IT_number 123
_space_group_name_Hall '-P 4 2'
loop_
_atom_site_label
_atom_site_fract_x
_atom_site_fract_y
_atom_site_fract_z
Ce1 0.000 0.000 0.000
Eu1 0.000 0.500 0.500
Dy1 0.500 0.500 0.000

***

# PmNd12Y7 | Alexandria | PBE | relaxed
# Size of the total moment (μB per formula unit): 1.1
# VASP energy (eV per formula unit): -105.29
# Fermi-level density of states (states/eV per cell): 114.84
# Formation energy from the elements (kcal/mol of atoms): 2.2
data_PmNd12Y7
_chemical_formula_sum 'Pm3 Nd36 Y21'
_cell_length_a 13.5317
_cell_length_b 13.5317
_cell_length_c 13.0005
_cell_angle_alpha 90.00
_cell_angle_beta 90.00
_cell_angle_gamma 120.00
_space_group_name_H-M_alt 'R -3 m'
_space_group_IT_number 166
_space_group_name_Hall '-R 3 2"'
loop_
_atom_site_label
_atom_site_fract_x
_atom_site_fract_y
_atom_site_fract_z
Pm1 0.0000 0.0000 0.0000
Nd1 0.0000 0.2615 0.5000
Nd2 0.0891 0.1782 0.2674
Y1 0.0000 0.0000 0.5000
Y2 0.0430 0.5215 0.6183

***

# Nd4HoTm3 | Alexandria | PBE | relaxed
# Size of the total moment (μB per formula unit): 0.0
# VASP energy (eV per formula unit): -36.82
# Fermi-level density of states (states/eV per cell): 26.09
# Formation energy from the elements (kcal/mol of atoms): 0.7
data_Nd4HoTm3
_chemical_formula_sum 'Nd8 Ho2 Tm6'
_cell_length_a 5.086
_cell_length_b 10.171
_cell_length_c 10.123
_cell_angle_alpha 90.00
_cell_angle_beta 90.00
_cell_angle_gamma 90.00
_space_group_name_H-M_alt 'P m m n'
_space_group_IT_number 59
loop_
_space_group_symop_operation_xyz
'x,y,z'
'-x,-y,-z'
'-x+1/2,-y+1/2,z'
'x+1/2,y+1/2,-z'
'x+1/2,-y,-z'
'-x+1/2,y,z'
'-x,y+1/2,-z'
'x,-y+1/2,z'
loop_
_atom_site_label
_atom_site_fract_x
_atom_site_fract_y
_atom_site_fract_z
Nd1 0.250 0.000 0.130
Nd2 0.250 0.250 0.870
Nd3 0.250 0.750 0.870
Ho1 0.250 0.250 0.381
Tm1 0.250 0.000 0.619
Tm2 0.250 0.750 0.381

***

# SrPm2Pt2 | Alexandria | PBE | relaxed
# Size of the total moment (μB per formula unit): 0.0
# VASP energy (eV per formula unit): -27.52
# Fermi-level density of states (states/eV per cell): 5.73
# Formation energy from the elements (kcal/mol of atoms): -19.6
data_SrPm2Pt2
_chemical_formula_sum 'Sr2 Pm4 Pt4'
_cell_length_a 8.868
_cell_length_b 5.123
_cell_length_c 6.144
_cell_angle_alpha 90.00
_cell_angle_beta 90.13
_cell_angle_gamma 90.00
_space_group_name_H-M_alt 'C 1 2/m 1'
_space_group_IT_number 12
loop_
_space_group_symop_operation_xyz
'x,y,z'
'-x,-y,-z'
'-x,y,-z'
'x,-y,z'
'x+1/2,y+1/2,z'
'-x+1/2,-y+1/2,-z'
'-x+1/2,y+1/2,-z'
'x+1/2,-y+1/2,z'
loop_
_atom_site_label
_atom_site_fract_x
_atom_site_fract_y
_atom_site_fract_z
Sr1 0.000 0.000 0.000
Pm1 0.167 0.500 0.325
Pt1 0.167 0.500 0.796

***

- Which formula does entry 4 have?
  Nd4HoTm3

***

- Which of these has the highest formation energy from the elements?
  CeEu2Dy

***

- Which formula does entry 3 have?
  PmNd12Y7

***

- Which formula does entry 4 have?
  Nd4HoTm3